Below is a crystal of Cr2InP relaxed with PBEsol, with properties calculated at the meta-GGA SCAN level.

Geometry as POSCAR:
```
Cr2InP
1.0
5.782 0.000 0.000
0.000 3.212 0.000
-1.813 0.000 6.736
Cr In P
4 2 2
direct
0.231 0.000 0.182
0.269 0.500 0.818
0.731 0.500 0.182
0.769 0.000 0.818
0.000 0.000 0.500
0.500 0.500 0.500
0.000 0.500 0.000
0.500 0.000 0.000
```

Computed properties:
Space-group type: No. 12
Formation energy from the elements (eV/atom): -0.09
Distance to the lowest polymorph of the same formula (eV per atom): 0.000



Below is a crystal of Te3MoCl16 relaxed with PBEsol, with properties calculated at the meta-GGA SCAN level.

Geometry as POSCAR:
```
Te3MoCl16
1.0
7.797 -6.440 0.000
7.797 6.440 0.000
0.000 0.000 12.139
Te Mo Cl
6 2 32
direct
0.138 0.862 0.500
0.264 0.458 0.235
0.458 0.264 0.735
0.542 0.736 0.235
0.736 0.542 0.735
0.862 0.138 0.000
0.329 0.671 0.756
0.671 0.329 0.256
0.003 0.997 0.629
0.047 0.181 0.896
0.106 0.428 0.369
0.114 0.603 0.118
0.146 0.640 0.644
0.181 0.047 0.396
0.197 0.803 0.877
0.246 0.263 0.135
0.263 0.246 0.635
0.308 0.473 0.858
0.315 0.685 0.354
0.360 0.854 0.644
0.397 0.886 0.118
0.428 0.106 0.869
0.473 0.308 0.358
0.477 0.523 0.627
0.523 0.477 0.127
0.527 0.692 0.858
0.572 0.894 0.369
0.603 0.114 0.618
0.640 0.146 0.144
0.685 0.315 0.854
0.692 0.527 0.358
0.737 0.754 0.135
0.754 0.737 0.635
0.803 0.197 0.377
0.819 0.953 0.896
0.854 0.360 0.144
0.886 0.397 0.618
0.894 0.572 0.869
0.953 0.819 0.396
0.997 0.003 0.129
```

Computed properties:
Raw formation energy (eV/atom): -0.7433
Space-group type: No. 36



no.,electronic total energy (eV/atom)
1,-20.23
2,-14.46